No. 1
The following is a PBE calculation of a relaxed structure of BaTlN2F, from the Alexandria database.

* magnetization: 1.48 μB per formula unit
* uncorrected energy: -23.3 eV per cell
* calculated density: 7.06 g/cm³
* formation energy from raw total energies: -105 meV per atom
* volume: 18.30 A^3/atom

a = 4.349 Å, b = 4.349 Å, c = 4.838 Å
α = 90.00°, β = 90.00°, γ = 90.00°
Site moments in Bohr magnetons follow the coordinates.
Fractional coordinates of all 5 atoms:
N1 0.500 0.000 0.000  0.51
N2 0.000 0.500 0.000  0.51
F1 0.000 0.000 0.500  0.00
Tl1 0.000 0.000 0.000  -0.01
Ba1 0.500 0.500 0.500  0.00

---

No. 2
The following is a PBE calculation of a relaxed structure of Ba3U2N5F2, from the Alexandria database.

* magnetization: 1.00 μB per formula unit
* uncorrected energy: -95.4 eV per cell
* calculated density: 7.43 g/cm³
* formation energy from raw total energies: -1810 meV per atom
* volume: 18.55 A^3/atom

a = 4.372 Å, b = 4.372 Å, c = 12.049 Å
α = 100.45°, β = 100.45°, γ = 90.00°
Site moments in Bohr magnetons follow the coordinates.
Fractional coordinates of all 12 atoms:
F1 0.296 0.296 0.593  0.00
F2 0.704 0.704 0.407  0.00
Ba1 0.823 0.823 0.645  0.00
Ba2 0.177 0.177 0.355  0.00
Ba3 0.000 0.000 0.000  0.01
N1 0.398 0.898 0.796  -0.03
N2 0.602 0.102 0.204  -0.03
N3 0.500 0.500 0.000  -0.02
N4 0.898 0.398 0.796  -0.03
N5 0.102 0.602 0.204  -0.03
U1 0.593 0.593 0.186  0.54
U2 0.407 0.407 0.814  0.54